[1]
! Nd4As2PbSe, optimized geometry, DFT PBE; values from VASP
! SG: P2/m
! E_form (uncorrected), eV per atom: -1.3576
&SYSTEM
  ibrav = 0, nat = 8, ntyp = 4
/
ATOMIC_SPECIES
Nd 144.24 Nd.upf
As 74.92 As.upf
Pb 207.20 Pb.upf
Se 78.96 Se.upf
CELL_PARAMETERS angstrom
7.542 0.000 0.000
0.000 4.287 0.000
-2.463 0.000 7.167
ATOMIC_POSITIONS crystal
Nd 0.238 0.000 0.234
Nd 0.251 0.500 0.763
Nd 0.749 0.500 0.237
Nd 0.762 0.000 0.766
As 0.000 0.500 0.000
As 0.500 0.000 0.000
Pb 0.500 0.500 0.500
Se 0.000 0.000 0.500

[2]
! Li7ScCd4, optimized geometry, DFT PBE; values from VASP
! SG: C2/m
! ΔH_f (0 K), meV/atom: -21
&SYSTEM
  ibrav = 0, nat = 12, ntyp = 3
/
ATOMIC_SPECIES
Li 6.94 Li.upf
Sc 44.96 Sc.upf
Cd 112.41 Cd.upf
CELL_PARAMETERS angstrom
6.868 -2.475 0.000
6.868 2.475 0.000
-4.194 0.000 6.942
ATOMIC_POSITIONS crystal
Li 0.000 0.000 0.000
Li 0.245 0.245 0.707
Li 0.288 0.288 0.112
Li 0.417 0.417 0.552
Li 0.583 0.583 0.448
Li 0.712 0.712 0.888
Li 0.755 0.755 0.293
Sc 0.500 0.500 0.000
Cd 0.056 0.056 0.728
Cd 0.176 0.176 0.334
Cd 0.824 0.824 0.666
Cd 0.944 0.944 0.272

[3]
! TlPPt3, optimized geometry, DFT PBE; values from VASP
! ΔE to the lowest computed polymorph, eV/atom: 1.765
! SG: Pm-3m
! ΔH_f (0 K), meV/atom: 1658
&SYSTEM
  ibrav = 0, nat = 5, ntyp = 3
/
ATOMIC_SPECIES
Tl 204.38 Tl.upf
P 30.97 P.upf
Pt 195.08 Pt.upf
CELL_PARAMETERS angstrom
5.011 0.000 0.000
0.000 5.011 0.000
0.000 0.000 5.011
ATOMIC_POSITIONS crystal
Tl 0.000 0.000 0.000
P 0.500 0.500 0.500
Pt 0.000 0.000 0.500
Pt 0.000 0.500 0.000
Pt 0.500 0.000 0.000

[4]
! PaZnSi, optimized geometry, DFT PBE; values from VASP
! SG: C2/m
! E_form (uncorrected), eV per atom: 0.0059
&SYSTEM
  ibrav = 0, nat = 12, ntyp = 3
/
ATOMIC_SPECIES
Pa 231.04 Pa.upf
Zn 65.41 Zn.upf
Si 28.09 Si.upf
CELL_PARAMETERS angstrom
7.949 0.000 0.000
0.000 4.586 0.000
-2.644 0.000 7.301
ATOMIC_POSITIONS crystal
Pa 0.084 0.000 0.254
Pa 0.416 0.500 0.746
Pa 0.584 0.500 0.254
Pa 0.916 0.000 0.746
Zn 0.170 0.500 0.011
Zn 0.330 0.000 0.989
Zn 0.670 0.000 0.011
Zn 0.830 0.500 0.989
Si 0.211 0.000 0.631
Si 0.289 0.500 0.369
Si 0.711 0.500 0.631
Si 0.789 0.000 0.369

Total magnetic moment values (in μB per formula unit) by entry order: 0.00, 0.02, 0.00, 0.00.